KInSnAu | GGA-PBE | relaxed

- Space group: Cm
- Total magnetic moment: 0.0 μB/f.u.
- ρ: 5.7 g/cm3
- Energy relative to the elements: -0.09 eV/atom

```
data_KInSnAu
_cell_length_a 4.237
_cell_length_b 4.683
_cell_length_c 7.715
_cell_angle_alpha 89.98
_cell_angle_beta 90.00
_cell_angle_gamma 116.90
_space_group_name_H-M_alt 'P 1'
_space_group_IT_number 1
loop_
_space_group_symop_operation_xyz
'x,y,z'
loop_
_atom_site_label
_atom_site_type_symbol
_atom_site_fract_x
_atom_site_fract_y
_atom_site_fract_z
Au1 Au 0.479 0.957 0.360
K1 K 0.158 0.316 0.649
In1 In 0.467 0.934 0.992
Sn1 Sn 0.792 0.584 0.254
```



LiPb3N | GGA-PBE | relaxed

- E above lowest polymorph: 0.00 eV per formula unit
- Space group: Pm-3m
- Total magnetic moment: 0.1 μB/f.u.
- ρ: 8.2 g/cm3
- Formation energy without anion corrections: 454 meV per atom

```
data_LiPb3N
_cell_length_a 5.061
_cell_length_b 5.061
_cell_length_c 5.061
_cell_angle_alpha 90.00
_cell_angle_beta 90.00
_cell_angle_gamma 90.00
_space_group_name_H-M_alt 'P 1'
_space_group_IT_number 1
loop_
_space_group_symop_operation_xyz
'x,y,z'
loop_
_atom_site_label
_atom_site_type_symbol
_atom_site_fract_x
_atom_site_fract_y
_atom_site_fract_z
Pb1 Pb 0.000 0.000 0.500
Pb2 Pb 0.500 0.000 0.000
Pb3 Pb 0.000 0.500 0.000
Li1 Li 0.500 0.500 0.500
N1 N 0.000 0.000 0.000
```



Hf3CrI | GGA-PBE | relaxed

- E above lowest polymorph: 0.00 eV per formula unit
- Space group: Pm-3m
- Total magnetic moment: 1.0 μB/f.u.
- ρ: 10.0 g/cm3
- Formation energy without anion corrections: 652 meV per atom

```
data_Hf3CrI
_cell_length_a 4.916
_cell_length_b 4.916
_cell_length_c 4.916
_cell_angle_alpha 90.00
_cell_angle_beta 90.00
_cell_angle_gamma 90.00
_space_group_name_H-M_alt 'P 1'
_space_group_IT_number 1
loop_
_space_group_symop_operation_xyz
'x,y,z'
loop_
_atom_site_label
_atom_site_type_symbol
_atom_site_fract_x
_atom_site_fract_y
_atom_site_fract_z
I1 I 0.500 0.500 0.500
Cr1 Cr 0.000 0.000 0.000
Hf1 Hf 0.500 0.000 0.000
Hf2 Hf 0.000 0.000 0.500
Hf3 Hf 0.000 0.500 0.000
```



ErScIrOs | GGA-PBE | relaxed

- Space group: F-43m
- Total magnetic moment: 0.0 μB/f.u.
- ρ: 13.7 g/cm3
- Energy relative to the elements: -0.59 eV/atom

```
data_ErScIrOs
_cell_length_a 4.671
_cell_length_b 4.671
_cell_length_c 4.671
_cell_angle_alpha 60.00
_cell_angle_beta 60.00
_cell_angle_gamma 60.00
_space_group_name_H-M_alt 'P 1'
_space_group_IT_number 1
loop_
_space_group_symop_operation_xyz
'x,y,z'
loop_
_atom_site_label
_atom_site_type_symbol
_atom_site_fract_x
_atom_site_fract_y
_atom_site_fract_z
Sc1 Sc 0.500 0.500 0.500
Os1 Os 0.750 0.750 0.750
Er1 Er 0.000 0.000 0.000
Ir1 Ir 0.250 0.250 0.250
```



TaTcP2S | GGA-PBE | relaxed

- E above lowest polymorph: 0.00 eV per formula unit
- Space group: P4/mmm
- Total magnetic moment: 4.0 μB/f.u.
- ρ: 5.6 g/cm3
- Formation energy without anion corrections: 787 meV per atom

```
data_TaTcP2S
_cell_length_a 4.853
_cell_length_b 4.853
_cell_length_c 4.660
_cell_angle_alpha 90.00
_cell_angle_beta 90.00
_cell_angle_gamma 90.00
_space_group_name_H-M_alt 'P 1'
_space_group_IT_number 1
loop_
_space_group_symop_operation_xyz
'x,y,z'
loop_
_atom_site_label
_atom_site_type_symbol
_atom_site_fract_x
_atom_site_fract_y
_atom_site_fract_z
P1 P 0.000 0.500 0.000
P2 P 0.500 0.000 0.000
S1 S 0.000 0.000 0.500
Ta1 Ta 0.000 0.000 0.000
Tc1 Tc 0.500 0.500 0.500
```



Mo3W | GGA-PBE | relaxed

- E above lowest polymorph: 1.50 eV per formula unit
- Space group: R-3m
- Total magnetic moment: 0.0 μB/f.u.
- ρ: 12.0 g/cm3
- Energy relative to the elements: 0.35 eV/atom

```
data_Mo3W
_cell_length_a 3.008
_cell_length_b 8.528
_cell_length_c 3.008
_cell_angle_alpha 100.16
_cell_angle_beta 60.00
_cell_angle_gamma 100.16
_space_group_name_H-M_alt 'P 1'
_space_group_IT_number 1
loop_
_space_group_symop_operation_xyz
'x,y,z'
loop_
_atom_site_label
_atom_site_type_symbol
_atom_site_fract_x
_atom_site_fract_y
_atom_site_fract_z
Mo1 Mo 0.250 0.750 0.250
Mo2 Mo 0.500 0.501 0.500
Mo3 Mo 0.000 0.999 0.000
W1 W 0.750 0.250 0.750
```



LiMnB3 | GGA-PBE | relaxed

- E above lowest polymorph: 0.00 eV per formula unit
- Space group: Pm-3m
- Total magnetic moment: 0.0 μB/f.u.
- ρ: 2.9 g/cm3
- Energy relative to the elements: 0.51 eV/atom

```
data_LiMnB3
_cell_length_a 3.786
_cell_length_b 3.786
_cell_length_c 3.786
_cell_angle_alpha 90.00
_cell_angle_beta 90.00
_cell_angle_gamma 90.00
_space_group_name_H-M_alt 'P 1'
_space_group_IT_number 1
loop_
_space_group_symop_operation_xyz
'x,y,z'
loop_
_atom_site_label
_atom_site_type_symbol
_atom_site_fract_x
_atom_site_fract_y
_atom_site_fract_z
Li1 Li 0.500 0.500 0.500
Mn1 Mn 0.000 0.000 0.000
B1 B 0.000 0.000 0.500
B2 B 0.000 0.500 0.000
B3 B 0.500 0.000 0.000
```



CdSe2IN | GGA-PBE | relaxed

- E above lowest polymorph: 0.20 eV per formula unit
- Space group: P4/mmm
- Total magnetic moment: 2.5 μB/f.u.
- ρ: 5.4 g/cm3
- Formation energy without anion corrections: 1100 meV per atom

```
data_CdSe2IN
_cell_length_a 5.473
_cell_length_b 5.473
_cell_length_c 4.259
_cell_angle_alpha 90.00
_cell_angle_beta 90.00
_cell_angle_gamma 90.00
_space_group_name_H-M_alt 'P 1'
_space_group_IT_number 1
loop_
_space_group_symop_operation_xyz
'x,y,z'
loop_
_atom_site_label
_atom_site_type_symbol
_atom_site_fract_x
_atom_site_fract_y
_atom_site_fract_z
Cd1 Cd 0.000 0.000 0.000
Se1 Se 0.500 0.000 0.000
Se2 Se 0.000 0.500 0.000
I1 I 0.500 0.500 0.500
N1 N 0.000 0.000 0.500
```